Entry 1:
DFT (GGA-PBE) results for Be3BiIr after structural relaxation.

a = 4.536 Å, b = 4.536 Å, c = 4.536 Å
α = 90.00°, β = 90.00°, γ = 90.00°
Space group Pm-3m (No. 221)
Inequivalent atoms, fractional coordinates:
Be 0.000 0.000 0.500 (multiplicity 3)
Bi 0.000 0.000 0.000 (multiplicity 1)
Ir 0.500 0.500 0.500 (multiplicity 1)

Values from the calculation:
Its density of states at the Fermi level is 0.1 states/eV/cell. As for the volume: 93.3 Å³ per cell. Its calculated formation energy is 1.83 eV per atom. The energy above the lowest structure with this stoichiometry is 1529 meV/atom. Its final energy is -2.96 eV per atom.

Entry 2:
DFT (GGA-PBE) results for Be3BiIr after structural relaxation.

a = 4.345 Å, b = 4.345 Å, c = 4.345 Å
α = 90.00°, β = 90.00°, γ = 90.00°
Space group Pm-3m (No. 221)
Inequivalent atoms, fractional coordinates:
Be 0.000 0.000 0.500 (multiplicity 3)
Bi 0.500 0.500 0.500 (multiplicity 1)
Ir 0.000 0.000 0.000 (multiplicity 1)

Values from the calculation:
Its density of states at the Fermi level is 2.0 states/eV/cell. As for the volume: 82.1 Å³ per cell. Its calculated formation energy is 0.30 eV per atom. The energy above the lowest structure with this stoichiometry is 0 meV/atom. Its final energy is -4.49 eV per atom.

Entry 3:
DFT (GGA-PBE) results for LaBe2BiIr after structural relaxation.

a = 4.696 Å, b = 4.696 Å, c = 5.892 Å
α = 90.00°, β = 90.00°, γ = 90.00°
Space group P4/mmm (No. 123)
Inequivalent atoms, fractional coordinates:
La 0.000 0.000 0.000 (multiplicity 1)
Be 0.000 0.500 0.000 (multiplicity 2)
Bi 0.000 0.000 0.500 (multiplicity 1)
Ir 0.500 0.500 0.500 (multiplicity 1)

Values from the calculation:
Its density of states at the Fermi level is 4.5 states/eV/cell. As for the volume: 130.0 Å³ per cell. Its calculated formation energy is 2.17 eV per atom. Its final energy is -2.86 eV per atom.